Below is an optimized crystal structure of Ca5Mn3, with properties calculated at the PBE level.

## Properties
total energy: -68.37 eV per cell
volume: 29.6 Å³/atom
Fermi-level density of states: 8.72 states/eV/f.u.

Structure (CIF):
```
data_Ca5Mn3
_space_group_name_H-M_alt 'P 63/m c m'
_space_group_IT_number 193
_space_group_name_Hall '-P 6c 2'
_cell_length_a 9.2052
_cell_length_b 9.2052
_cell_length_c 6.4611
_cell_angle_alpha 90.00
_cell_angle_beta 90.00
_cell_angle_gamma 120.00
loop_
_atom_site_label
_atom_site_fract_x
_atom_site_fract_y
_atom_site_fract_z
Ca1 0.0000 0.2510 0.2500
Ca2 0.3333 0.6667 0.0000
Mn1 0.0000 0.4105 0.7500
```

---

Below is an optimized crystal structure of Ca3Mn, with properties calculated at the PBE level.

## Properties
total energy: -27.84 eV per cell
volume: 33.0 Å³/atom
Fermi-level density of states: 4.55 states/eV/f.u.

Structure (CIF):
```
data_Ca3Mn
_space_group_name_H-M_alt 'I m m m'
_space_group_IT_number 71
_space_group_name_Hall '-I 2 2'
_cell_length_a 3.830
_cell_length_b 5.834
_cell_length_c 11.823
_cell_angle_alpha 90.00
_cell_angle_beta 90.00
_cell_angle_gamma 90.00
loop_
_atom_site_label
_atom_site_fract_x
_atom_site_fract_y
_atom_site_fract_z
Ca1 0.000 0.000 0.000
Ca2 0.000 0.500 0.207
Mn1 0.000 0.000 0.500
```

---

Below is an optimized crystal structure of CaMn, with properties calculated at the PBE level.

## Properties
total energy: -61.47 eV per cell
volume: 25.3 Å³/atom
Fermi-level density of states: 1.52 states/eV/f.u.

Structure (CIF):
```
data_CaMn
_space_group_name_H-M_alt 'C 1 m 1'
_space_group_IT_number 8
_cell_length_a 12.554
_cell_length_b 3.684
_cell_length_c 7.175
_cell_angle_alpha 90.00
_cell_angle_beta 113.63
_cell_angle_gamma 90.00
loop_
_space_group_symop_operation_xyz
'x,y,z'
'x,-y,z'
'x+1/2,y+1/2,z'
'x+1/2,-y+1/2,z'
loop_
_atom_site_label
_atom_site_fract_x
_atom_site_fract_y
_atom_site_fract_z
Ca1 0.000 0.000 0.000
Ca2 0.028 0.000 0.544
Ca3 0.238 0.500 0.398
Mn1 0.208 0.500 0.924
Mn2 0.298 0.000 0.773
Mn3 0.352 0.000 0.151
```

---

Below is an optimized crystal structure of CaMn3, with properties calculated at the PBE level.

## Properties
total energy: -27.83 eV per cell
volume: 17.8 Å³/atom
Fermi-level density of states: 5.05 states/eV/f.u.

Structure (CIF):
```
data_CaMn3
_space_group_name_H-M_alt 'P 1 2/m 1'
_space_group_IT_number 10
_cell_length_a 3.115
_cell_length_b 3.113
_cell_length_c 7.354
_cell_angle_alpha 90.00
_cell_angle_beta 90.06
_cell_angle_gamma 90.00
loop_
_space_group_symop_operation_xyz
'x,y,z'
'-x,-y,-z'
'-x,y,-z'
'x,-y,z'
loop_
_atom_site_label
_atom_site_fract_x
_atom_site_fract_y
_atom_site_fract_z
Ca1 0.000 0.000 0.000
Mn1 0.000 0.000 0.500
Mn2 0.500 0.500 0.321
```

---

Below is an optimized crystal structure of CaMn, with properties calculated at the PBE level.

## Properties
total energy: -39.60 eV per cell
volume: 25.7 Å³/atom
Fermi-level density of states: 3.09 states/eV/f.u.

Structure (CIF):
```
data_CaMn
_space_group_name_H-M_alt 'P 21 3'
_space_group_IT_number 198
_space_group_name_Hall 'P 2ac 2ab 3'
_cell_length_a 5.904
_cell_length_b 5.904
_cell_length_c 5.904
_cell_angle_alpha 90.00
_cell_angle_beta 90.00
_cell_angle_gamma 90.00
loop_
_atom_site_label
_atom_site_fract_x
_atom_site_fract_y
_atom_site_fract_z
Ca1 0.089 0.411 0.589
Mn1 0.102 0.898 0.398
```

---

Below is an optimized crystal structure of CaMn3, with properties calculated at the PBE level.

## Properties
total energy: -53.17 eV per cell
volume: 17.9 Å³/atom
Fermi-level density of states: 4.69 states/eV/f.u.

Structure (CIF):
```
data_CaMn3
_space_group_name_H-M_alt 'C m m m'
_space_group_IT_number 65
_space_group_name_Hall '-C 2 2'
_cell_length_a 5.864
_cell_length_b 8.139
_cell_length_c 2.999
_cell_angle_alpha 90.00
_cell_angle_beta 90.00
_cell_angle_gamma 90.00
loop_
_atom_site_label
_atom_site_fract_x
_atom_site_fract_y
_atom_site_fract_z
Ca1 0.000 0.000 0.000
Mn1 0.000 0.500 0.000
Mn2 0.250 0.250 0.500
```

---

> Number 5 is which compound?

CaMn

---

> The highest total energy belongs to which entry?

number 4